1.
# GGA+U CaFeO2, optimized geometry
data_CaFeO2
_symmetry_space_group_name_H-M 'I -4 2 d'
_symmetry_Int_Tables_number 122
_symmetry_space_group_name_Hall 'I -4 2bw'
_cell_length_a 4.798
_cell_length_b 4.798
_cell_length_c 10.678
_cell_angle_alpha 90.00
_cell_angle_beta 90.00
_cell_angle_gamma 90.00
loop_
_atom_site_label
_atom_site_fract_x
_atom_site_fract_y
_atom_site_fract_z
Ca1 0.000 0.000 0.000
Fe1 0.000 0.000 0.500
O1 0.213 0.250 0.625
# Calculated volume   15.4 Å³/atom
# Magnetization   16.00 Bohr magnetons per cell
# Final energy   -6.386 eV per atom
# Density   3.46 Mg/m³

---

2.
# GGA+U Ca2Fe2O5, optimized geometry
data_Ca2Fe2O5
_symmetry_space_group_name_H-M 'F m m m'
_symmetry_Int_Tables_number 69
_symmetry_space_group_name_Hall '-F 2 2'
_cell_length_a 7.889
_cell_length_b 8.016
_cell_length_c 14.837
_cell_angle_alpha 90.00
_cell_angle_beta 90.00
_cell_angle_gamma 90.00
loop_
_atom_site_label
_atom_site_fract_x
_atom_site_fract_y
_atom_site_fract_z
Ca1 0.000 0.220 0.144
Fe1 0.183 0.000 0.500
Fe2 0.250 0.000 0.250
O1 0.000 0.000 0.271
O2 0.000 0.168 0.500
O3 0.198 0.000 0.109
O4 0.250 0.250 0.250
# Calculated volume   13.0 Å³/atom
# Magnetization   80.01 Bohr magnetons per cell
# Final energy   -6.595 eV per atom
# Density   3.85 Mg/m³

---

3.
# GGA+U CaFe2O4, optimized geometry
data_CaFe2O4
_symmetry_space_group_name_H-M 'P 3 m 1'
_symmetry_Int_Tables_number 156
_symmetry_space_group_name_Hall 'P 3 -2"'
_cell_length_a 6.2652
_cell_length_b 6.2652
_cell_length_c 15.3336
_cell_angle_alpha 90.00
_cell_angle_beta 90.00
_cell_angle_gamma 120.00
loop_
_atom_site_label
_atom_site_fract_x
_atom_site_fract_y
_atom_site_fract_z
Ca1 0.0000 0.0000 0.0000
Ca2 0.0000 0.0000 0.2455
Ca3 0.3333 0.6667 0.3328
Ca4 0.3333 0.6667 0.5814
Ca5 0.3333 0.6667 0.9585
Ca6 0.6667 0.3333 0.6585
Fe1 0.0000 0.0000 0.6186
Fe2 0.0040 0.5020 0.1271
Fe3 0.1630 0.3260 0.7847
Fe4 0.3347 0.1673 0.4524
Fe5 0.6667 0.3333 0.2901
Fe6 0.6667 0.3333 0.9085
O1 0.0000 0.0000 0.3929
O2 0.0000 0.0000 0.8523
O3 0.1387 0.2774 0.5426
O4 0.1807 0.3614 0.0591
O5 0.2777 0.1389 0.7041
O6 0.3333 0.6667 0.1929
O7 0.3333 0.6667 0.7263
O8 0.3910 0.1955 0.2024
O9 0.5005 0.0010 0.8567
O10 0.5260 0.0520 0.3714
O11 0.6667 0.3333 0.0338
O12 0.6667 0.3333 0.5152
# Calculated volume   12.4 Å³/atom
# Magnetization   15.97 Bohr magnetons per cell
# Final energy   -6.487 eV per atom
# Density   4.12 Mg/m³

---

4.
# GGA+U CaFe2O4, optimized geometry
data_CaFe2O4
_symmetry_space_group_name_H-M 'F d d 2'
_symmetry_Int_Tables_number 43
_symmetry_space_group_name_Hall 'F 2 -2d'
_cell_length_a 10.719
_cell_length_b 10.722
_cell_length_c 6.621
_cell_angle_alpha 90.00
_cell_angle_beta 90.00
_cell_angle_gamma 90.00
loop_
_atom_site_label
_atom_site_fract_x
_atom_site_fract_y
_atom_site_fract_z
Ca1 0.000 0.000 0.000
Fe1 0.086 0.335 0.874
O1 0.089 0.129 0.368
O2 0.120 0.161 0.880
# Calculated volume   13.6 Å³/atom
# Magnetization   80.00 Bohr magnetons per cell
# Final energy   -6.566 eV per atom
# Density   3.77 Mg/m³

---

5.
# GGA+U Ca2Fe2O5, optimized geometry
data_Ca2Fe2O5
_symmetry_space_group_name_H-M 'P b a m'
_symmetry_Int_Tables_number 55
_symmetry_space_group_name_Hall '-P 2 2ab'
_cell_length_a 5.481
_cell_length_b 10.500
_cell_length_c 3.928
_cell_angle_alpha 90.00
_cell_angle_beta 90.00
_cell_angle_gamma 90.00
loop_
_atom_site_label
_atom_site_fract_x
_atom_site_fract_y
_atom_site_fract_z
Ca1 0.231 0.114 0.000
Fe1 0.244 0.363 0.500
O1 0.000 0.000 0.500
O2 0.101 0.700 0.500
O3 0.203 0.393 0.000
# Calculated volume   12.6 Å³/atom
# Magnetization   20.00 Bohr magnetons per cell
# Final energy   -6.550 eV per atom
# Density   3.99 Mg/m³

---

6.
# GGA+U CaFe4O8, optimized geometry
data_CaFe4O8
_symmetry_space_group_name_H-M 'R -3 m'
_symmetry_Int_Tables_number 166
_symmetry_space_group_name_Hall '-R 3 2"'
_cell_length_a 5.8980
_cell_length_b 5.8980
_cell_length_c 16.6993
_cell_angle_alpha 90.00
_cell_angle_beta 90.00
_cell_angle_gamma 120.00
loop_
_atom_site_label
_atom_site_fract_x
_atom_site_fract_y
_atom_site_fract_z
Ca1 0.0000 0.0000 0.0000
Fe1 0.0000 0.0000 0.5000
Fe2 0.0000 0.5000 0.5000
O1 0.0000 0.0000 0.2264
O2 0.0125 0.5062 0.7718
# Calculated volume   12.9 Å³/atom
# Magnetization   36.00 Bohr magnetons per cell
# Final energy   -6.307 eV per atom
# Density   3.88 Mg/m³